PuAlC: optimized geometry, PBE.

a = 4.059 Å, b = 5.136 Å, c = 9.069 Å
α = 90.00°, β = 90.00°, γ = 90.00°
Site moments in Bohr magnetons follow the coordinates.
Element x y z (fractional)
1 C 0.750 0.500 0.627  -0.09
2 C 0.250 0.000 0.127  -0.09
3 C 0.750 0.000 0.873  -0.09
4 C 0.250 0.500 0.373  -0.09
5 Al 0.250 0.000 0.894  -0.01
6 Al 0.750 0.500 0.394  -0.01
7 Al 0.250 0.500 0.606  -0.01
8 Al 0.750 0.000 0.106  -0.01
9 Pu 0.250 0.000 0.378  4.94
10 Pu 0.250 0.500 0.122  4.94
11 Pu 0.750 0.000 0.622  4.94
12 Pu 0.750 0.500 0.878  4.94

Computed properties:
Energy of formation from the pure elements   0.150 eV per formula unit
Space-group type   No. 74
Volume   189 Å³ per cell
E above lowest polymorph   58 meV per atom
Uncorrected energy   -9.05 eV/atom